Computed, not measured: crystalline ErZnTc at its relaxed geometry at the PBE level of DFT.

abc: 4.5824 4.5824 4.5824
angles: 60.00 60.00 60.00
Element x y z (fractional)
Zn 0.7500 0.7500 0.7500
Tc 0.2500 0.2500 0.2500
Er 0.0000 0.0000 0.0000

Results
* ΔE_f: 0.983 eV/atom
* energy relative to the lowest polymorph listed for this composition: 623 meV per atom
* space-group type: F-43m

Computed, not measured: crystalline FeOsAu2 at its relaxed geometry at the PBE level of DFT.

abc: 4.4754 4.4754 4.4754
angles: 60.00 60.00 60.00
Element x y z (fractional)
Os 0.0000 0.0000 0.0000
Au 0.2500 0.2500 0.2500
Au 0.7500 0.7500 0.7500
Fe 0.5000 0.5000 0.5000

Results
* ΔE_f: 0.685 eV/atom
* energy relative to the lowest polymorph listed for this composition: 101 meV per atom
* space-group type: Fm-3m

Computed, not measured: crystalline HfZrPO at its relaxed geometry at the PBE level of DFT.

abc: 3.8411 3.8411 8.3422
angles: 90.00 90.00 90.00
Element x y z (fractional)
P 0.0000 0.5000 0.7251
P 0.5000 0.0000 0.2749
Hf 0.0000 0.5000 0.1334
Hf 0.5000 0.0000 0.8666
O 0.0000 0.0000 0.0000
O 0.5000 0.5000 0.0000
Zr 0.5000 0.5000 0.5000
Zr 0.0000 0.0000 0.5000

Results
* energy relative to the lowest polymorph listed for this composition: 0 meV per atom
* space-group type: P4/nmm